A crystal of BeRuBr2 relaxed with PBEsol. Source: Alexandria, functional meta-GGA SCAN. Values from VASP.

Output
Calculated total energy (eV/atom): -19.0276
Formation energy (no corrections) (eV/f.u.): 1.99

```
&SYSTEM
  ibrav = 0, nat = 16, ntyp = 3
/
ATOMIC_SPECIES
Be 9.01 Be.upf
Ru 101.07 Ru.upf
Br 79.90 Br.upf
ATOMIC_POSITIONS crystal
Be 0.000 0.000 0.000
Be 0.000 0.500 0.250
Be 0.500 0.000 0.750
Be 0.500 0.500 0.500
Ru 0.000 0.000 0.500
Ru 0.000 0.500 0.750
Ru 0.500 0.000 0.250
Ru 0.500 0.500 0.000
Br 0.207 0.250 0.125
Br 0.250 0.707 0.375
Br 0.250 0.793 0.875
Br 0.293 0.250 0.625
Br 0.707 0.750 0.625
Br 0.750 0.207 0.875
Br 0.750 0.293 0.375
Br 0.793 0.750 0.125
CELL_PARAMETERS angstrom
5.490 0.000 0.000
0.000 5.490 0.000
0.000 0.000 10.180
```